Li3SiGe: optimized geometry, PBE.

Properties
E above lowest polymorph: 519 meV/atom
Formation energy without anion corrections: 1.60 eV per formula unit
Final energy: -2.8368 eV/atom

abc: 4.6687 4.6687 4.6687
angles: 90.00 90.00 90.00
Sites, in units of the cell vectors:
Li 0.0000 0.0000 0.5000
Li 0.0000 0.5000 0.0000
Li 0.5000 0.0000 0.0000
Si 0.0000 0.0000 0.0000
Ge 0.5000 0.5000 0.5000

LiAcHoNi: optimized geometry, PBE.

Properties
E_form: -0.02 eV per atom
Final energy: -4.1195 eV/atom

abc: 5.1541 5.1541 5.1541
angles: 60.00 60.00 60.00
Sites, in units of the cell vectors:
Li 0.0000 0.0000 0.0000
Ac 0.2500 0.2500 0.2500
Ho 0.7500 0.7500 0.7500
Ni 0.5000 0.5000 0.5000

TePt3Se: optimized geometry, PBE.

Properties
E above lowest polymorph: 0 meV/atom
Formation energy without anion corrections: 3.04 eV per formula unit
Final energy: -4.3424 eV/atom

abc: 4.7701 4.7701 4.7701
angles: 90.00 90.00 90.00
Sites, in units of the cell vectors:
Te 0.0000 0.0000 0.0000
Pt 0.0000 0.5000 0.5000
Pt 0.5000 0.0000 0.5000
Pt 0.5000 0.5000 0.0000
Se 0.5000 0.5000 0.5000

Sr2Sb3Rh2: optimized geometry, PBE.

Properties
Formation energy without anion corrections: -4.19 eV per formula unit
Final energy: -4.9463 eV/atom

abc: 6.1593 6.1593 7.8314
angles: 113.76 113.76 40.96
Sites, in units of the cell vectors:
Sr 0.1470 0.1470 0.2875
Sr 0.8530 0.8530 0.7125
Sb 0.3673 0.3673 0.0483
Sb 0.5000 0.5000 0.5000
Sb 0.6327 0.6327 0.9517
Rh 0.1353 0.1353 0.7415
Rh 0.8647 0.8647 0.2585

Which value of final energy does entry 3 give?
-4.3424 eV/atom

What is the final energy in the second record?
-4.1195 eV/atom